# CaDy7Y2

CaDy7Y2 after structural relaxation (GGA-PBE, Alexandria via LeMat-Bulk).

The structure in extended XYZ format:
```
10
Lattice="6.179 0.000 0.000 -1.046 6.095 0.000 -2.012 -3.481 8.571" Properties=species:S:1:pos:R:3 pbc="T T T"
Ca 0.000 0.000 0.000
Dy -1.007 -1.179 5.968
Dy 0.020 1.062 3.476
Dy 1.089 3.320 0.888
Dy 2.084 -1.740 4.286
Dy 2.032 -0.706 7.683
Dy 3.101 1.552 5.095
Dy 4.128 3.794 2.604
Y 0.010 2.077 6.806
Y 3.111 0.537 1.765
```

Values from the calculation:
**D(E_F)**: 14.2 states/eV/f.u.
**Crystal system**: triclinic
**Symmetry**: P-1
**Total energy**: -4.660 eV per atom

# CsTeS2Cl

CsTeS2Cl after structural relaxation (GGA-PBE, Alexandria via LeMat-Bulk).

The structure in extended XYZ format:
```
5
Lattice="5.191 0.000 0.000 0.000 5.191 0.000 0.000 0.000 5.612" Properties=species:S:1:pos:R:3 pbc="T T T"
Cs 0.000 0.000 0.000
Te 2.596 2.596 2.806
S 0.000 2.596 2.806
S 2.596 0.000 2.806
Cl 2.596 2.596 0.000
```

Values from the calculation:
**ΔE to the lowest computed polymorph**: 0.0 kJ per mole of atoms
**ΔE_f (raw)**: -0.521 eV/atom
**D(E_F)**: 1.2 states/eV/f.u.
**Crystal system**: tetragonal
**Symmetry**: P4/mmm

# SrTaMo

SrTaMo after structural relaxation (GGA-PBE, Alexandria via LeMat-Bulk).

The structure in extended XYZ format:
```
3
Lattice="0.000 3.326 3.326 3.326 0.000 3.326 3.326 3.326 0.000" Properties=species:S:1:pos:R:3 pbc="T T T"
Sr 0.000 0.000 0.000
Ta 3.326 3.326 3.326
Mo 4.990 4.990 4.990
```

Values from the calculation:
**ΔE to the lowest computed polymorph**: 80.6 kJ per mole of atoms
**D(E_F)**: 3.5 states/eV/f.u.
**Crystal system**: cubic
**Symmetry**: F-43m

# La2AgHgPt

La2AgHgPt after structural relaxation (GGA-PBE, Alexandria via LeMat-Bulk).

The structure in extended XYZ format:
```
10
Lattice="8.147 0.000 0.000 0.000 4.296 0.000 -3.110 0.000 7.664" Properties=species:S:1:pos:R:3 pbc="T T T"
La -0.589 1.074 1.571
La 0.951 3.222 4.842
La 4.086 1.074 2.822
La 5.626 3.222 6.093
Ag -0.063 1.074 7.315
Ag 5.100 3.222 0.349
Hg 1.960 3.222 1.510
Hg 3.077 1.074 6.154
Pt -1.082 1.074 4.649
Pt 6.119 3.222 3.015
```

Values from the calculation:
**ΔE to the lowest computed polymorph**: 0.0 kJ per mole of atoms
**D(E_F)**: 4.0 states/eV/f.u.
**Crystal system**: monoclinic
**Symmetry**: P2_1/m

# La5NdHg

La5NdHg after structural relaxation (GGA-PBE, Alexandria via LeMat-Bulk).

The structure in extended XYZ format:
```
14
Lattice="4.449 -4.367 0.000 4.449 4.367 0.000 -2.922 0.000 12.476" Properties=species:S:1:pos:R:3 pbc="T T T"
La 2.258 4.086 9.357
La 0.720 1.555 7.926
La 0.382 1.195 11.671
La 2.181 -1.555 1.688
La 1.843 -1.195 5.433
La 4.134 1.195 7.043
La 3.796 1.555 10.788
La 5.595 -1.195 0.805
La 5.257 -1.555 4.550
La 3.719 -4.086 3.119
Nd 3.719 1.230 3.119
Nd 2.258 -1.230 9.357
Hg 0.000 0.000 0.000
Hg -1.461 0.000 6.238
```

Values from the calculation:
**D(E_F)**: 9.7 states/eV/f.u.
**Crystal system**: monoclinic
**Symmetry**: C2/c
**Total energy**: -4.305 eV per atom

# Pm4Ho6Tm19

Pm4Ho6Tm19 after structural relaxation (GGA-PBE, Alexandria via LeMat-Bulk).

The structure in extended XYZ format:
```
29
Lattice="-6.178 6.178 6.178 6.178 -6.178 6.178 6.178 6.178 -6.178" Properties=species:S:1:pos:R:3 pbc="T T T"
Pm 3.967 3.967 -3.967
Pm 3.967 -3.967 3.967
Pm 2.211 2.211 2.211
Pm -3.967 3.967 3.967
Ho 6.178 0.000 1.585
Ho 6.178 4.593 0.000
Ho 1.585 6.178 0.000
Ho 4.593 0.000 6.178
Ho 0.000 1.585 6.178
Ho 0.000 6.178 4.593
Tm 0.000 0.000 0.000
Tm 3.247 0.000 0.000
Tm 9.110 0.000 0.000
Tm 6.960 -2.777 2.929
Tm 3.401 3.249 -0.781
Tm 3.249 -0.781 3.401
Tm 0.000 3.247 0.000
Tm 0.000 0.000 3.247
Tm 8.956 3.249 0.781
Tm 2.929 6.960 -2.777
Tm 5.397 2.777 2.929
Tm -0.781 3.401 3.249
Tm 2.929 5.397 2.777
Tm 2.777 2.929 5.397
Tm 0.000 9.110 0.000
Tm 0.000 0.000 9.110
Tm 3.249 0.781 8.956
Tm -2.777 2.929 6.960
Tm 0.781 8.956 3.249
```

Values from the calculation:
**D(E_F)**: 44.0 states/eV/f.u.
**Crystal system**: cubic
**Symmetry**: I23
**Total energy**: -4.134 eV per atom

Question: What is the D(E_F) in the third record?
Answer: 3.5 states/eV/f.u.

Question: Among the records above, which one has the lowest D(E_F)?
Answer: CsTeS2Cl

Repeat the fifth record exactly.
# La5NdHg

La5NdHg after structural relaxation (GGA-PBE, Alexandria via LeMat-Bulk).

The structure in extended XYZ format:
```
14
Lattice="4.449 -4.367 0.000 4.449 4.367 0.000 -2.922 0.000 12.476" Properties=species:S:1:pos:R:3 pbc="T T T"
La 2.258 4.086 9.357
La 0.720 1.555 7.926
La 0.382 1.195 11.671
La 2.181 -1.555 1.688
La 1.843 -1.195 5.433
La 4.134 1.195 7.043
La 3.796 1.555 10.788
La 5.595 -1.195 0.805
La 5.257 -1.555 4.550
La 3.719 -4.086 3.119
Nd 3.719 1.230 3.119
Nd 2.258 -1.230 9.357
Hg 0.000 0.000 0.000
Hg -1.461 0.000 6.238
```

Values from the calculation:
**D(E_F)**: 9.7 states/eV/f.u.
**Crystal system**: monoclinic
**Symmetry**: C2/c
**Total energy**: -4.305 eV per atom

Question: Look up the D(E_F) of the sixth one.
Answer: 44.0 states/eV/f.u.